[1]
Computed, not measured: a relaxed PmYTeBr crystal at the PBE level of DFT.

Results
Space group: F-43m, No. 216
Total energy, eV per atom: -5.14
Formation energy (no corrections), eV per atom: -1.134

a = 7.484 Å, b = 7.484 Å, c = 7.484 Å
α = 90.00°, β = 90.00°, γ = 90.00°
Fractional coordinates of all 16 atoms:
Pm  0.000  0.000  0.000
Pm  0.000  0.500  0.500
Pm  0.500  0.000  0.500
Pm  0.500  0.500  0.000
Y  0.000  0.000  0.500
Y  0.000  0.500  0.000
Y  0.500  0.000  0.000
Y  0.500  0.500  0.500
Te  0.250  0.250  0.250
Te  0.250  0.750  0.750
Te  0.750  0.250  0.750
Te  0.750  0.750  0.250
Br  0.250  0.250  0.750
Br  0.250  0.750  0.250
Br  0.750  0.250  0.250
Br  0.750  0.750  0.750

***

[2]
Computed, not measured: a relaxed La6GeSb4 crystal at the PBE level of DFT.

Results
Space group: R-3c, No. 167
Total energy, eV per atom: -5.63
Formation energy (no corrections), eV per atom: -1.024

a = 9.063 Å, b = 9.063 Å, c = 9.063 Å
α = 89.72°, β = 89.72°, γ = 89.72°
Fractional coordinates of all 22 atoms:
La  0.058  0.925  0.693
La  0.075  0.307  0.942
La  0.193  0.425  0.558
La  0.307  0.942  0.075
La  0.425  0.558  0.193
La  0.442  0.807  0.575
La  0.558  0.193  0.425
La  0.575  0.442  0.807
La  0.693  0.058  0.925
La  0.807  0.575  0.442
La  0.925  0.693  0.058
La  0.942  0.075  0.307
Ge  0.000  0.000  0.000
Ge  0.500  0.500  0.500
Sb  0.132  0.750  0.368
Sb  0.250  0.250  0.250
Sb  0.250  0.632  0.868
Sb  0.368  0.132  0.750
Sb  0.632  0.868  0.250
Sb  0.750  0.368  0.132
Sb  0.750  0.750  0.750
Sb  0.868  0.250  0.632

***

[3]
Computed, not measured: a relaxed H5SeS2 crystal at the PBE level of DFT.

Results
Space group: P1, No. 1
Total energy, eV per atom: -3.57

a = 4.387 Å, b = 5.883 Å, c = 6.520 Å
α = 63.42°, β = 88.91°, γ = 86.93°
Fractional coordinates of all 8 atoms:
H  0.000  0.000  0.000
H  0.001  0.096  0.257
H  0.497  0.412  0.827
H  0.503  0.649  0.461
H  0.560  0.014  0.669
Se  0.262  0.543  0.640
S  0.255  0.045  0.637
S  0.789  0.039  0.140

***

[4]
Computed, not measured: a relaxed LiCaMg14 crystal at the PBE level of DFT.

Results
Space group: P-6m2, No. 187
Total energy, eV per atom: -1.65
Energy relative to the elements, meV/atom: -7

a = 6.465 Å, b = 6.465 Å, c = 10.519 Å
α = 90.00°, β = 90.00°, γ = 120.00°
Fractional coordinates of all 16 atoms:
Li  0.000  0.000  0.000
Ca  0.000  0.000  0.500
Mg  0.009  0.504  0.500
Mg  0.167  0.334  0.240
Mg  0.167  0.334  0.760
Mg  0.167  0.833  0.240
Mg  0.167  0.833  0.760
Mg  0.496  0.504  0.500
Mg  0.496  0.991  0.500
Mg  0.502  0.005  0.000
Mg  0.502  0.498  0.000
Mg  0.666  0.833  0.240
Mg  0.666  0.833  0.760
Mg  0.667  0.333  0.258
Mg  0.667  0.333  0.742
Mg  0.995  0.498  0.000

***

> Among the records above, which one has the highest total energy?

LiCaMg14

***

> Number 4 is which compound?

LiCaMg14

***

Repeat the second record exactly.
Computed, not measured: a relaxed La6GeSb4 crystal at the PBE level of DFT.

Results
Space group: R-3c, No. 167
Total energy, eV per atom: -5.63
Formation energy (no corrections), eV per atom: -1.024

a = 9.063 Å, b = 9.063 Å, c = 9.063 Å
α = 89.72°, β = 89.72°, γ = 89.72°
Fractional coordinates of all 22 atoms:
La  0.058  0.925  0.693
La  0.075  0.307  0.942
La  0.193  0.425  0.558
La  0.307  0.942  0.075
La  0.425  0.558  0.193
La  0.442  0.807  0.575
La  0.558  0.193  0.425
La  0.575  0.442  0.807
La  0.693  0.058  0.925
La  0.807  0.575  0.442
La  0.925  0.693  0.058
La  0.942  0.075  0.307
Ge  0.000  0.000  0.000
Ge  0.500  0.500  0.500
Sb  0.132  0.750  0.368
Sb  0.250  0.250  0.250
Sb  0.250  0.632  0.868
Sb  0.368  0.132  0.750
Sb  0.632  0.868  0.250
Sb  0.750  0.368  0.132
Sb  0.750  0.750  0.750
Sb  0.868  0.250  0.632

***

> Look up the total energy of the fourth one.

-1.65 eV per atom